[1]
Density functional theory data (GGA-PBE) for NaLi2TcCl8 after structural relaxation.

Cell: 7.256 6.015 8.353 Å, 92.65 68.90 100.41°
Last column: magnetic moment on the atom in μB.
Positions (direct):
Na 0.000 0.000 0.500  0.00
Li 0.355 0.513 0.676  0.00
Li 0.645 0.487 0.324  0.00
Tc 0.000 0.000 0.000  1.58
Cl 0.135 0.790 0.141  0.05
Cl 0.707 0.727 0.072  0.02
Cl 0.859 0.190 0.257  0.02
Cl 0.865 0.210 0.859  0.05
Cl 0.293 0.273 0.928  0.02
Cl 0.141 0.810 0.743  0.02
Cl 0.697 0.652 0.565  -0.04
Cl 0.303 0.348 0.435  -0.04

Formation energy without anion corrections   -1.145 eV/atom
N(E_F)   8.981 states/eV/cell
Energy   -3.668 eV/atom

---

[2]
Density functional theory data (GGA-PBE) for Ce2DyIn after structural relaxation.

Cell: 4.205 4.205 6.748 Å, 90.00 90.00 90.00°
Last column: magnetic moment on the atom in μB.
Positions (direct):
In 0.500 0.500 0.000  -0.01
Ce 0.000 0.000 0.789  0.74
Ce 0.000 0.000 0.211  0.74
Dy 0.500 0.500 0.500  0.14

N(E_F)   11.810 states/eV/cell
ΔH_f (0 K)   -0.09 eV per atom
Energy   -4.889 eV/atom